# Rb2MnNiSe4, relaxed, DFT PBE-GGA
data_Rb2MnNiSe4
_cell_length_a 13.956
_cell_length_b 12.417
_cell_length_c 7.516
_cell_angle_alpha 85.11
_cell_angle_beta 62.44
_cell_angle_gamma 32.45
_space_group_name_H-M_alt 'P 1'
_space_group_IT_number 1
loop_
_space_group_symop_operation_xyz
'x,y,z'
loop_
_atom_site_label
_atom_site_type_symbol
_atom_site_fract_x
_atom_site_fract_y
_atom_site_fract_z
_atom_site_occupancy
Rb1 Rb 0.055 0.055 0.695 1
Rb2 Rb 0.305 0.305 0.945 1
Rb3 Rb 0.695 0.695 0.055 1
Rb4 Rb 0.945 0.945 0.305 1
Mn1 Mn 0.375 0.375 0.375 1
Mn2 Mn 0.625 0.625 0.625 1
Ni1 Ni 0.125 0.125 0.125 1
Ni2 Ni 0.875 0.875 0.875 1
Se1 Se 0.018 0.340 0.421 1
Se2 Se 0.279 0.579 0.660 1
Se3 Se 0.340 0.018 0.721 1
Se4 Se 0.421 0.721 0.018 1
Se5 Se 0.579 0.279 0.982 1
Se6 Se 0.660 0.982 0.279 1
Se7 Se 0.721 0.421 0.340 1
Se8 Se 0.982 0.660 0.579 1
# Energy ... -4.574 eV per atom
# Formation energy without anion corrections ... -721 meV/atom
# M_tot ... 2.421 μB per cell
# Crystal system ... orthorhombic
# Space group ... Fddd


# RbMnNiSe3, relaxed, DFT PBE-GGA
data_RbMnNiSe3
_cell_length_a 8.788
_cell_length_b 3.754
_cell_length_c 9.695
_cell_angle_alpha 90.00
_cell_angle_beta 115.83
_cell_angle_gamma 90.00
_space_group_name_H-M_alt 'P 1'
_space_group_IT_number 1
loop_
_space_group_symop_operation_xyz
'x,y,z'
loop_
_atom_site_label
_atom_site_type_symbol
_atom_site_fract_x
_atom_site_fract_y
_atom_site_fract_z
_atom_site_occupancy
Rb1 Rb 0.237 0.250 0.264 1
Rb2 Rb 0.763 0.750 0.736 1
Mn1 Mn 0.312 0.750 0.842 1
Mn2 Mn 0.688 0.250 0.158 1
Ni1 Ni 0.082 0.250 0.602 1
Ni2 Ni 0.918 0.750 0.398 1
Se1 Se 0.130 0.250 0.860 1
Se2 Se 0.219 0.750 0.560 1
Se3 Se 0.481 0.750 0.133 1
Se4 Se 0.519 0.250 0.867 1
Se5 Se 0.781 0.250 0.440 1
Se6 Se 0.870 0.750 0.140 1
# Energy ... -5.001 eV per atom
# Formation energy without anion corrections ... -606 meV/atom
# M_tot ... 4.729 μB per cell
# Crystal system ... monoclinic
# Space group ... P2_1/m


# Rb2SrMnNi, relaxed, DFT PBE-GGA
data_Rb2SrMnNi
_cell_length_a 6.266
_cell_length_b 6.266
_cell_length_c 5.771
_cell_angle_alpha 90.00
_cell_angle_beta 90.00
_cell_angle_gamma 90.00
_space_group_name_H-M_alt 'P 1'
_space_group_IT_number 1
loop_
_space_group_symop_operation_xyz
'x,y,z'
loop_
_atom_site_label
_atom_site_type_symbol
_atom_site_fract_x
_atom_site_fract_y
_atom_site_fract_z
_atom_site_occupancy
Rb1 Rb 0.000 0.500 0.000 1
Rb2 Rb 0.500 0.000 0.000 1
Sr1 Sr 0.000 0.000 0.500 1
Mn1 Mn 0.500 0.500 0.500 1
Ni1 Ni 0.000 0.000 0.000 1
# Energy ... -2.839 eV per atom
# Formation enthalpy at 0 K ... 20.16 kcal/mol of atoms
# M_tot ... 4.623 μB per cell
# Crystal system ... tetragonal
# Space group ... P4/mmm


# MnReNi14, relaxed, DFT PBE-GGA
data_MnReNi14
_cell_length_a 5.036
_cell_length_b 5.036
_cell_length_c 7.079
_cell_angle_alpha 90.00
_cell_angle_beta 90.00
_cell_angle_gamma 90.00
_space_group_name_H-M_alt 'P 1'
_space_group_IT_number 1
loop_
_space_group_symop_operation_xyz
'x,y,z'
loop_
_atom_site_label
_atom_site_type_symbol
_atom_site_fract_x
_atom_site_fract_y
_atom_site_fract_z
_atom_site_occupancy
Mn1 Mn 0.000 0.000 0.000 1
Re1 Re 0.500 0.500 0.000 1
Ni1 Ni 0.000 0.000 0.500 1
Ni2 Ni 0.000 0.500 0.000 1
Ni3 Ni 0.000 0.500 0.500 1
Ni4 Ni 0.251 0.251 0.253 1
Ni5 Ni 0.251 0.251 0.747 1
Ni6 Ni 0.251 0.749 0.253 1
Ni7 Ni 0.251 0.749 0.747 1
Ni8 Ni 0.500 0.000 0.000 1
Ni9 Ni 0.500 0.000 0.500 1
Ni10 Ni 0.500 0.500 0.500 1
Ni11 Ni 0.749 0.251 0.253 1
Ni12 Ni 0.749 0.251 0.747 1
Ni13 Ni 0.749 0.749 0.253 1
Ni14 Ni 0.749 0.749 0.747 1
# Energy ... -6.421 eV per atom
# Formation enthalpy at 0 K ... -0.25 kcal/mol of atoms
# M_tot ... 8.672 μB per cell
# Crystal system ... tetragonal
# Space group ... P4/mmm


# MnReNi, relaxed, DFT PBE-GGA
data_MnReNi
_cell_length_a 2.636
_cell_length_b 2.636
_cell_length_c 6.272
_cell_angle_alpha 90.00
_cell_angle_beta 90.00
_cell_angle_gamma 120.00
_space_group_name_H-M_alt 'P 1'
_space_group_IT_number 1
loop_
_space_group_symop_operation_xyz
'x,y,z'
loop_
_atom_site_label
_atom_site_type_symbol
_atom_site_fract_x
_atom_site_fract_y
_atom_site_fract_z
_atom_site_occupancy
Mn1 Mn 0.000 0.000 0.000 1
Re1 Re 0.333 0.667 0.669 1
Ni1 Ni 0.667 0.333 0.320 1
# Energy ... -8.969 eV per atom
# Formation enthalpy at 0 K ... 3.79 kcal/mol of atoms
# M_tot ... 0.254 μB per cell
# Crystal system ... trigonal
# Space group ... P3m1


# MnReNi, relaxed, DFT PBE-GGA
data_MnReNi
_cell_length_a 4.567
_cell_length_b 4.567
_cell_length_c 4.567
_cell_angle_alpha 140.86
_cell_angle_beta 140.86
_cell_angle_gamma 56.55
_space_group_name_H-M_alt 'P 1'
_space_group_IT_number 1
loop_
_space_group_symop_operation_xyz
'x,y,z'
loop_
_atom_site_label
_atom_site_type_symbol
_atom_site_fract_x
_atom_site_fract_y
_atom_site_fract_z
_atom_site_occupancy
Mn1 Mn 0.000 0.000 0.000 1
Re1 Re 0.662 0.662 0.000 1
Ni1 Ni 0.339 0.339 0.000 1
# Energy ... -9.022 eV per atom
# Formation enthalpy at 0 K ... 2.57 kcal/mol of atoms
# M_tot ... 1.516 μB per cell
# Crystal system ... tetragonal
# Space group ... I4mm


# MnReNi, relaxed, DFT PBE-GGA
data_MnReNi
_cell_length_a 4.497
_cell_length_b 4.497
_cell_length_c 4.497
_cell_angle_alpha 146.56
_cell_angle_beta 131.02
_cell_angle_gamma 60.60
_space_group_name_H-M_alt 'P 1'
_space_group_IT_number 1
loop_
_space_group_symop_operation_xyz
'x,y,z'
loop_
_atom_site_label
_atom_site_type_symbol
_atom_site_fract_x
_atom_site_fract_y
_atom_site_fract_z
_atom_site_occupancy
Mn1 Mn 0.000 0.000 0.000 1
Re1 Re 0.333 0.333 0.000 1
Ni1 Ni 0.665 0.665 0.000 1
# Energy ... -9.093 eV per atom
# Formation enthalpy at 0 K ... 0.93 kcal/mol of atoms
# M_tot ... 1.506 μB per cell
# Crystal system ... orthorhombic
# Space group ... Imm2


# MnReNi4, relaxed, DFT PBE-GGA
data_MnReNi4
_cell_length_a 8.042
_cell_length_b 2.532
_cell_length_c 6.943
_cell_angle_alpha 90.00
_cell_angle_beta 90.00
_cell_angle_gamma 90.00
_space_group_name_H-M_alt 'P 1'
_space_group_IT_number 1
loop_
_space_group_symop_operation_xyz
'x,y,z'
loop_
_atom_site_label
_atom_site_type_symbol
_atom_site_fract_x
_atom_site_fract_y
_atom_site_fract_z
_atom_site_occupancy
Mn1 Mn 0.250 0.000 0.180 1
Mn2 Mn 0.750 0.000 0.820 1
Re1 Re 0.250 0.000 0.529 1
Re2 Re 0.750 0.000 0.471 1
Ni1 Ni 0.000 0.000 0.000 1
Ni2 Ni 0.012 0.500 0.326 1
Ni3 Ni 0.250 0.500 0.869 1
Ni4 Ni 0.488 0.500 0.326 1
Ni5 Ni 0.500 0.000 0.000 1
Ni6 Ni 0.512 0.500 0.674 1
Ni7 Ni 0.750 0.500 0.131 1
Ni8 Ni 0.988 0.500 0.674 1
# Energy ... -7.407 eV per atom
# Formation enthalpy at 0 K ... 1.15 kcal/mol of atoms
# M_tot ... 6.798 μB per cell
# Crystal system ... orthorhombic
# Space group ... Pmma


# MnReNi, relaxed, DFT PBE-GGA
data_MnReNi
_cell_length_a 5.597
_cell_length_b 5.597
_cell_length_c 3.720
_cell_angle_alpha 90.00
_cell_angle_beta 90.00
_cell_angle_gamma 140.94
_space_group_name_H-M_alt 'P 1'
_space_group_IT_number 1
loop_
_space_group_symop_operation_xyz
'x,y,z'
loop_
_atom_site_label
_atom_site_type_symbol
_atom_site_fract_x
_atom_site_fract_y
_atom_site_fract_z
_atom_site_occupancy
Mn1 Mn 0.249 0.751 0.750 1
Mn2 Mn 0.751 0.249 0.250 1
Re1 Re 0.405 0.595 0.250 1
Re2 Re 0.595 0.405 0.750 1
Ni1 Ni 0.083 0.917 0.250 1
Ni2 Ni 0.917 0.083 0.750 1
# Energy ... -9.128 eV per atom
# Formation enthalpy at 0 K ... 0.12 kcal/mol of atoms
# M_tot ... 0.403 μB per cell
# Crystal system ... orthorhombic
# Space group ... Cmcm


# MnReNi4, relaxed, DFT PBE-GGA
data_MnReNi4
_cell_length_a 4.645
_cell_length_b 4.645
_cell_length_c 4.645
_cell_angle_alpha 60.00
_cell_angle_beta 60.00
_cell_angle_gamma 60.00
_space_group_name_H-M_alt 'P 1'
_space_group_IT_number 1
loop_
_space_group_symop_operation_xyz
'x,y,z'
loop_
_atom_site_label
_atom_site_type_symbol
_atom_site_fract_x
_atom_site_fract_y
_atom_site_fract_z
_atom_site_occupancy
Mn1 Mn 0.000 0.000 0.000 1
Re1 Re 0.250 0.250 0.250 1
Ni1 Ni 0.126 0.625 0.625 1
Ni2 Ni 0.625 0.126 0.625 1
Ni3 Ni 0.625 0.625 0.126 1
Ni4 Ni 0.625 0.625 0.625 1
# Energy ... -7.386 eV per atom
# Formation enthalpy at 0 K ... 1.63 kcal/mol of atoms
# M_tot ... 2.182 μB per cell
# Crystal system ... cubic
# Space group ... F-43m


# MnReNi3, relaxed, DFT PBE-GGA
data_MnReNi3
_cell_length_a 6.500
_cell_length_b 6.500
_cell_length_c 4.540
_cell_angle_alpha 105.12
_cell_angle_beta 105.12
_cell_angle_gamma 42.25
_space_group_name_H-M_alt 'P 1'
_space_group_IT_number 1
loop_
_space_group_symop_operation_xyz
'x,y,z'
loop_
_atom_site_label
_atom_site_type_symbol
_atom_site_fract_x
_atom_site_fract_y
_atom_site_fract_z
_atom_site_occupancy
Mn1 Mn 0.066 0.066 0.297 1
Mn2 Mn 0.934 0.934 0.703 1
Re1 Re 0.297 0.297 0.599 1
Re2 Re 0.703 0.703 0.401 1
Ni1 Ni 0.096 0.601 0.141 1
Ni2 Ni 0.399 0.904 0.859 1
Ni3 Ni 0.500 0.500 0.000 1
Ni4 Ni 0.500 0.500 0.500 1
Ni5 Ni 0.601 0.096 0.141 1
Ni6 Ni 0.904 0.399 0.859 1
# Energy ... -7.726 eV per atom
# Formation enthalpy at 0 K ... 1.54 kcal/mol of atoms
# M_tot ... 8.996 μB per cell
# Crystal system ... monoclinic
# Space group ... C2/m


# MnReNi, relaxed, DFT PBE-GGA
data_MnReNi
_cell_length_a 3.917
_cell_length_b 3.917
_cell_length_c 3.917
_cell_angle_alpha 60.00
_cell_angle_beta 60.00
_cell_angle_gamma 60.00
_space_group_name_H-M_alt 'P 1'
_space_group_IT_number 1
loop_
_space_group_symop_operation_xyz
'x,y,z'
loop_
_atom_site_label
_atom_site_type_symbol
_atom_site_fract_x
_atom_site_fract_y
_atom_site_fract_z
_atom_site_occupancy
Mn1 Mn 0.000 0.000 0.000 1
Re1 Re 0.750 0.750 0.750 1
Ni1 Ni 0.250 0.250 0.250 1
# Energy ... -8.582 eV per atom
# Formation enthalpy at 0 K ... 12.72 kcal/mol of atoms
# M_tot ... 0.178 μB per cell
# Crystal system ... cubic
# Space group ... F-43m